1.
The following is a GGA-PBE calculation of crystalline BaPaCu2O6 at its relaxed geometry, from the Alexandria database.

Computed properties:
As for the density of states at the Fermi level: 8.0 states/eV/cell. The calculation puts the total energy at -6.887 eV/atom. The raw formation energy is -19.51 eV per formula unit. Its crystal system is trigonal.

Cell: 5.7479 5.7479 6.7688 Å, 64.88 64.88 60.00°
Fractional coordinates of all 10 atoms:
O  0.7125  0.1019  0.7160
O  0.4697  0.7125  0.7160
O  0.8981  0.5303  0.2840
O  0.5303  0.2875  0.2840
O  0.1019  0.4697  0.7160
O  0.2875  0.8981  0.2840
Ba  0.0000  0.0000  0.0000
Cu  0.2350  0.2350  0.2949
Cu  0.7650  0.7650  0.7051
Pa  0.5000  0.5000  0.5000

2.
The following is a GGA-PBE calculation of crystalline TaFeGeTe2Pd at its relaxed geometry, from the Alexandria database.

Computed properties:
As for the density of states at the Fermi level: 4.2 states/eV/cell. The calculation puts the total energy at -6.134 eV/atom. The raw formation energy is -0.40 eV per formula unit. Its energy above the most stable polymorph in this dataset is 213.0 meV/atom. Its crystal system is triclinic.

Cell: 3.8132 5.6893 6.6349 Å, 110.24 106.81 90.03°
Fractional coordinates of all 6 atoms:
Ge  0.5755  0.8022  0.9752
Fe  0.0849  0.5610  0.9945
Te  0.9222  0.1469  0.6726
Te  0.2832  0.5543  0.3906
Ta  0.6104  0.2985  0.0460
Pd  0.2206  0.0447  0.2632

3.
The following is a GGA-PBE calculation of crystalline YAsP2 at its relaxed geometry, from the Alexandria database.

Computed properties:
As for the density of states at the Fermi level: 1.9 states/eV/cell. The formation energy is -1.94 eV per formula unit. The calculation puts the total energy at -5.968 eV/atom. Its crystal system is orthorhombic.

Cell: 5.2321 5.2321 5.2321 Å, 140.50 124.20 70.51°
Fractional coordinates of all 4 atoms:
P  0.2039  0.7039  0.5000
P  0.0106  0.0106  0.0000
Y  0.4962  0.4962  0.0000
As  0.7894  0.2894  0.5000

4.
The following is a GGA-PBE calculation of crystalline CaDyRhAu at its relaxed geometry, from the Alexandria database.

Computed properties:
As for the density of states at the Fermi level: 2.3 states/eV/cell. The formation energy is -2.80 eV per formula unit. The calculation puts the total energy at -5.007 eV/atom. Its energy above the most stable polymorph in this dataset is 31.8 meV/atom. Its crystal system is cubic.

Cell: 4.9637 4.9637 4.9637 Å, 60.00 60.00 60.00°
Fractional coordinates of all 4 atoms:
Dy  0.2500  0.2500  0.2500
Rh  0.5000  0.5000  0.5000
Au  0.0000  0.0000  0.0000
Ca  0.7500  0.7500  0.7500

5.
The following is a GGA-PBE calculation of crystalline PbAuF6 at its relaxed geometry, from the Alexandria database.

Computed properties:
As for the density of states at the Fermi level: 1.3 states/eV/cell. The calculation puts the total energy at -3.709 eV/atom. The raw formation energy is -11.46 eV per formula unit. Its crystal system is monoclinic.

Cell: 5.2452 5.2452 5.5186 Å, 94.64 94.64 116.00°
Fractional coordinates of all 8 atoms:
F  0.2998  0.2998  0.7860
F  0.7002  0.7002  0.2140
F  0.0415  0.3506  0.2395
F  0.9585  0.6494  0.7605
F  0.6494  0.9585  0.7605
F  0.3506  0.0415  0.2395
Pb  0.0000  0.0000  0.0000
Au  0.5000  0.5000  0.5000

6.
The following is a GGA-PBE calculation of crystalline Fe2SnAs8 at its relaxed geometry, from the Alexandria database.

Computed properties:
As for the density of states at the Fermi level: 5.5 states/eV/cell. The formation energy is 1.68 eV per formula unit. The calculation puts the total energy at -5.131 eV/atom. Its crystal system is monoclinic.

Cell: 4.5331 7.8294 9.0467 Å, 115.62 120.03 90.01°
Fractional coordinates of all 11 atoms:
As  0.1585  0.6663  0.3338
As  0.4783  0.6734  0.8373
As  0.0341  0.8370  0.6738
As  0.5218  0.8362  0.1632
As  0.9659  0.1630  0.3262
As  0.8415  0.3337  0.6662
As  0.5217  0.3266  0.1627
As  0.4782  0.1638  0.8368
Sn  0.0000  0.0000  0.0000
Fe  0.6523  0.6667  0.3338
Fe  0.3477  0.3333  0.6662

7.
The following is a GGA-PBE calculation of crystalline Sc2TeS2 at its relaxed geometry, from the Alexandria database.

Computed properties:
As for the density of states at the Fermi level: 0.0 states/eV/cell. The calculation puts the total energy at -6.142 eV/atom. The raw formation energy is -6.65 eV per formula unit. Its energy above the most stable polymorph in this dataset is 337.6 meV/atom. Its crystal system is tetragonal.

Cell: 4.2717 4.2717 7.1300 Å, 72.57 72.57 90.00°
Fractional coordinates of all 5 atoms:
S  0.2500  0.7500  0.5000
S  0.7500  0.2500  0.5000
Sc  0.3545  0.3545  0.2909
Sc  0.6455  0.6455  0.7091
Te  0.0000  0.0000  0.0000

8.
The following is a GGA-PBE calculation of crystalline MnZnSi2 at its relaxed geometry, from the Alexandria database.

Computed properties:
As for the density of states at the Fermi level: 1.5 states/eV/cell. The calculation puts the total energy at -5.266 eV/atom. The raw formation energy is 0.23 eV per formula unit. Its crystal system is orthorhombic.

Cell: 3.1674 3.1457 6.0652 Å, 58.80 90.00 90.00°
Fractional coordinates of all 4 atoms:
Mn  0.5000  0.7500  0.7500
Si  0.0000  0.4828  0.5172
Si  0.0000  0.0172  0.9828
Zn  0.5000  0.2500  0.2500

9.
The following is a GGA-PBE calculation of crystalline MoSe3 at its relaxed geometry, from the Alexandria database.

Computed properties:
As for the density of states at the Fermi level: 2.6 states/eV/cell. The calculation puts the total energy at -5.216 eV/atom. The raw formation energy is 0.42 eV per formula unit. Its crystal system is orthorhombic.

Cell: 3.2948 2.6252 10.6905 Å, 104.18 90.00 90.00°
Fractional coordinates of all 4 atoms:
Mo  0.0000  0.0000  0.0000
Se  0.5000  0.8115  0.8099
Se  0.5000  0.1885  0.1901
Se  0.0000  0.5000  0.5000

10.
The following is a GGA-PBE calculation of crystalline SrTaMoPt2 at its relaxed geometry, from the Alexandria database.

Computed properties:
As for the density of states at the Fermi level: 2.0 states/eV/cell. The formation energy is 1.90 eV per formula unit. The calculation puts the total energy at -6.909 eV/atom. Its crystal system is tetragonal.

Cell: 5.0661 4.7544 5.0661 Å, 90.00 90.00 90.00°
Fractional coordinates of all 5 atoms:
Mo  0.0000  0.5000  0.0000
Pt  0.0000  0.0000  0.5000
Pt  0.5000  0.0000  0.0000
Ta  0.0000  0.0000  0.0000
Sr  0.5000  0.5000  0.5000

11.
The following is a GGA-PBE calculation of crystalline B2PF at its relaxed geometry, from the Alexandria database.

Computed properties:
As for the density of states at the Fermi level: 0.4 states/eV/cell. The calculation puts the total energy at -4.809 eV/atom. The raw formation energy is 1.40 eV per formula unit. Its energy above the most stable polymorph in this dataset is 0.0 meV/atom. Its crystal system is tetragonal.

Cell: 4.4542 4.4542 5.5837 Å, 66.49 66.49 90.00°
Fractional coordinates of all 8 atoms:
F  0.2500  0.7500  0.5000
F  0.5000  0.5000  0.0000
B  0.3750  0.3532  0.7500
B  0.8750  0.8968  0.7500
B  0.6468  0.1250  0.2500
B  0.1032  0.6250  0.2500
P  0.0000  0.0000  0.0000
P  0.7500  0.2500  0.5000

12.
The following is a GGA-PBE calculation of crystalline NaW3I at its relaxed geometry, from the Alexandria database.

Computed properties:
As for the density of states at the Fermi level: 7.1 states/eV/cell. The calculation puts the total energy at -4.979 eV/atom. The raw formation energy is 16.83 eV per formula unit. Its energy above the most stable polymorph in this dataset is 662.2 meV/atom. Its crystal system is cubic.

Cell: 4.6991 4.6991 4.6991 Å, 90.00 90.00 90.00°
Fractional coordinates of all 5 atoms:
I  0.5000  0.5000  0.5000
W  0.5000  0.0000  0.0000
W  0.0000  0.5000  0.0000
W  0.0000  0.0000  0.5000
Na  0.0000  0.0000  0.0000